No. 1
Entry from Alexandria via LeMat-Bulk: an optimized crystal structure of ErSc2Mn (PBE-GGA).

Formation enthalpy at 0 K = 0.3 eV/f.u.
ρ = 5.9 g/cm3
E_tot = -26.05 eV/f.u.
Relative energy among the computed polymorphs = 0.0 kJ/mol of atoms

abc: 3.2108 3.2108 8.5126
angles: 90.00 90.00 90.00
With the nearest neighbours (Å) after each atom.
Space group P4/mmm (No. 123)
One atom of each set of equivalent atoms:
Er 0.0000 0.0000 0.0000 x1  4 Er 3.21, 8 Sc 3.52
Sc 0.5000 0.5000 0.3155 x2  4 Mn 2.76
Mn 0.0000 0.0000 0.5000 x1  8 Sc 2.76

No. 2
Entry from Alexandria via LeMat-Bulk: an optimized crystal structure of Na8SeF6 (PBE-GGA).

ρ = 2.3 g/cm3
Formation energy without anion corrections = -2.283 eV/atom
E_tot = -59.51 eV/f.u.

abc: 9.4400 9.4400 10.3911
angles: 90.00 90.00 120.00
With the nearest neighbours (Å) after each atom.
Space group R-3 (No. 148, hexagonal axes)
One atom of each set of equivalent atoms:
Na 0.0000 0.0000 0.2236 x6  3 F 2.22
Na 0.0264 0.4048 0.7480 x18  3 F 2.20-2.27
Se 0.0000 0.0000 0.5000 x3  2 Na 2.87
F 0.0036 0.2096 0.8769 x18  4 Na 2.20-2.27

No. 3
Entry from Alexandria via LeMat-Bulk: an optimized crystal structure of Li4ZnAg4 (PBE-GGA).

Formation enthalpy at 0 K = -1.7 eV/f.u.
ρ = 6.0 g/cm3
E_tot = -21.99 eV/f.u.

abc: 8.3228 8.3228 4.2046
angles: 90.00 90.00 90.00
With the nearest neighbours (Å) after each atom.
Space group I4/mmm (No. 139)
One atom of each set of equivalent atoms:
Li 0.1661 0.1661 0.0000 x8  4 Li 2.77-2.88, 6 Ag 2.78-2.84, 2 Zn 2.87
Zn 0.0000 0.0000 0.5000 x2  4 Ag 2.70, 8 Li 2.87
Ag 0.0000 0.3246 0.5000 x8  1 Zn 2.70, 6 Li 2.78-2.84, 5 Ag 2.92-2.95

No. 4
Entry from Alexandria via LeMat-Bulk: an optimized crystal structure of Ta2MnNi (PBE-GGA).

Formation enthalpy at 0 K = 0.1 eV/f.u.
ρ = 13.3 g/cm3
E_tot = -38.60 eV/f.u.
Relative energy among the computed polymorphs = 14.9 kJ/mol of atoms

abc: 9.2484 2.9170 4.5388
angles: 90.00 104.30 90.00
With the nearest neighbours (Å) after each atom.
Space group Cm (No. 8)
One atom of each set of equivalent atoms:
Ta 0.0000 0.0000 0.0000 x2  4 Mn 2.61-2.80, 3 Ni 2.67-2.70, 3 Ta 2.87-2.92
Ta 0.2290 0.0000 0.6746 x2  4 Ni 2.65-2.76, 3 Mn 2.70-2.71, 5 Ta 2.87-2.96
Mn 0.4772 0.0000 0.4632 x2  7 Ta 2.61-2.80, 2 Ni 2.62, 2 Mn 2.92
Ni 0.2471 0.5000 0.1977 x2  2 Mn 2.62, 7 Ta 2.65-2.76, 2 Ni 2.92

No. 5
Entry from Alexandria via LeMat-Bulk: an optimized crystal structure of KMnZn2 (PBE-GGA).

Formation enthalpy at 0 K = 1.6 eV/f.u.
ρ = 4.0 g/cm3
E_tot = -11.20 eV/f.u.
Relative energy among the computed polymorphs = 12.3 kJ/mol of atoms

abc: 3.3982 3.3982 8.0485
angles: 90.00 90.00 90.00
With the nearest neighbours (Å) after each atom.
Space group P4mm (No. 99)
One atom of each set of equivalent atoms:
K 0.0000 0.0000 0.0000 x1  4 K 3.40, 4 Zn 3.49, 4 Mn 3.74
Mn 0.5000 0.5000 0.3561 x1  5 Zn 2.63-2.65
Zn 0.0000 0.0000 0.4900 x1  4 Mn 2.63, 4 Zn 2.87
Zn 0.5000 0.5000 0.6850 x1  1 Mn 2.65, 4 Zn 2.87

No. 6
Entry from Alexandria via LeMat-Bulk: an optimized crystal structure of ReW4 (PBE-GGA).

Formation enthalpy at 0 K = 0.2 eV/f.u.
ρ = 19.3 g/cm3
E_tot = -64.07 eV/f.u.
Relative energy among the computed polymorphs = 0.7 kJ/mol of atoms

abc: 3.1832 4.4473 22.4557
angles: 90.00 90.00 90.00
With the nearest neighbours (Å) after each atom.
Space group Fmmm (No. 69)
One atom of each set of equivalent atoms:
Re 0.0000 0.0000 0.0000 x4  4 W 2.73, 4 Re 2.73
W 0.0000 0.0000 0.1996 x8  8 W 2.73-2.77
W 0.0000 0.0000 0.4010 x8  2 Re 2.73, 6 W 2.73-2.76

No. 7
Entry from Alexandria via LeMat-Bulk: an optimized crystal structure of NiTeAs2 (PBE-GGA).

ρ = 7.2 g/cm3
Formation energy without anion corrections = 0.200 eV/atom
E_tot = -17.42 eV/f.u.

abc: 5.3037 5.6467 10.2934
angles: 90.00 90.00 90.00
With the nearest neighbours (Å) after each atom.
Space group Fmmm (No. 69)
One atom of each set of equivalent atoms:
Ni 0.0000 0.0000 0.0000 x4  4 Te 2.65-2.82, 4 As 2.94
Te 0.0000 0.0000 0.5000 x4  4 Ni 2.65-2.82, 4 As 2.94
As 0.0000 0.2500 0.2500 x8  4 As 2.65-2.82, 2 Te 2.94, 2 Ni 2.94

No. 8
Entry from Alexandria via LeMat-Bulk: an optimized crystal structure of Ba6Na2Pt (PBE-GGA).

Formation enthalpy at 0 K = -2.1 eV/f.u.
ρ = 3.6 g/cm3
E_tot = -22.27 eV/f.u.

abc: 8.6724 8.6727 15.6901
angles: 90.00 123.52 90.00
With the nearest neighbours (Å) after each atom.
Space group P2_1/c (No. 14)
One atom of each set of equivalent atoms:
Ba 0.2044 0.2031 0.4984 x4  1 Pt 3.10
Ba 0.2645 0.5015 0.7606 x4  1 Pt 3.13
Ba 0.2954 0.7059 0.4987 x4  1 Pt 3.10
Na 0.2459 0.0053 0.7501 x4  8 Ba 4.11-4.37
Pt 0.5000 0.0000 0.5000 x2  6 Ba 3.10-3.13

No. 9
Entry from Alexandria via LeMat-Bulk: an optimized crystal structure of Ca2NdPuO6 (PBE-GGA).

ρ = 6.1 g/cm3
Formation energy without anion corrections = -3.031 eV/atom
E_tot = -83.17 eV/f.u.

abc: 5.9083 5.9083 15.3319
angles: 90.00 90.00 120.00
With the nearest neighbours (Å) after each atom.
Space group R3 (No. 146, hexagonal axes)
One atom of each set of equivalent atoms:
Ca 0.0000 0.0000 0.0000 x3  6 O 2.33-2.48
Ca 0.0000 0.0000 0.4928 x3  6 O 2.35-2.52
Nd 0.0000 0.0000 0.2173 x3  6 O 2.33-2.45
Pu 0.0000 0.0000 0.7078 x3  6 O 2.16
O 0.0476 0.3411 0.7766 x9  1 Pu 2.16, 1 Ca 2.35
O 0.0606 0.6796 0.2836 x9  1 Pu 2.16, 1 Ca 2.33, 1 Nd 2.33

No. 10
Entry from Alexandria via LeMat-Bulk: an optimized crystal structure of Tb6Sm12Al (PBE-GGA).

Formation enthalpy at 0 K = 1.6 eV/f.u.
ρ = 7.4 g/cm3
E_tot = -86.52 eV/f.u.

abc: 11.9490 11.9490 15.1268
angles: 90.00 90.00 120.00
With the nearest neighbours (Å) after each atom.
Space group R-3 (No. 148, hexagonal axes)
One atom of each set of equivalent atoms:
Tb 0.0252 0.4332 0.1893 x18  1 Al 3.34, 7 Sm 3.36-3.73, 2 Tb 3.40
Sm 0.0066 0.1751 0.3148 x18  4 Tb 3.43-3.73, 1 Al 3.47, 4 Sm 3.52-3.67
Sm 0.0480 0.8493 0.9148 x18  6 Sm 3.36-3.72, 3 Tb 3.36-3.52
Al 0.0000 0.0000 0.5000 x3  6 Tb 3.34, 6 Sm 3.47

No. 11
Entry from Alexandria via LeMat-Bulk: an optimized crystal structure of Ce4HPb2 (PBE-GGA).

ρ = 8.5 g/cm3
E_tot = -36.99 eV/f.u.
Relative energy among the computed polymorphs = 1.1 kJ/mol of atoms

abc: 4.6658 4.6658 17.6046
angles: 90.00 90.00 90.00
With the nearest neighbours (Å) after each atom.
Space group I4/mmm (No. 139)
One atom of each set of equivalent atoms:
Ce 0.0000 0.0000 0.1748 x4  1 H 3.08, 5 Pb 3.29-3.36
Ce 0.0000 0.5000 0.0000 x4  2 H 2.33
H 0.0000 0.0000 0.0000 x2  4 Ce 2.33
Pb 0.0000 0.0000 0.3619 x4  9 Ce 3.29-3.37

No. 12
Entry from Alexandria via LeMat-Bulk: an optimized crystal structure of SrSi4Tc (PBE-GGA).

ρ = 4.8 g/cm3
Formation energy without anion corrections = 0.437 eV/atom
E_tot = -31.12 eV/f.u.

abc: 7.4297 7.4297 7.4297
angles: 90.00 90.00 90.00
With the nearest neighbours (Å) after each atom.
Space group F-43m (No. 216)
One atom of each set of equivalent atoms:
Sr 0.0000 0.0000 0.0000 x4  12 Si 3.09, 4 Tc 3.22
Si 0.1220 0.1220 0.3780 x16  6 Si 2.56-2.69
Tc 0.2500 0.2500 0.7500 x4  12 Si 3.07, 4 Sr 3.22

What is the E_tot in the fourth record? -38.60 eV/f.u.

Which value of ρ does entry 12 give? 4.8 g/cm3